LiCeTl2: optimized geometry, PBE.

Cell lengths 5.2616, 5.2616, 3.9228 Å; angles 90.00, 90.00, 90.00 degrees
With the nearest neighbours (Å) after each atom.
Fractional coordinates of all 4 atoms:
Li1 0.0000 0.0000 0.0000  8 Tl 3.28
Ce1 0.5000 0.5000 0.0000  8 Tl 3.28
Tl1 0.0000 0.5000 0.5000  4 Ce 3.28, 4 Li 3.28
Tl2 0.5000 0.0000 0.5000  4 Ce 3.28, 4 Li 3.28

Computed properties:
Calculated formation energy = -200 meV per atom
Fermi-level density of states = 1.93 states/eV per atom
Electronic total energy = -3.345 eV/atom
ΔE to the lowest computed polymorph = 0.0607 eV/atom

LiCe2Tl4: optimized geometry, PBE.

Cell lengths 9.2113, 9.2113, 9.2113 Å; angles 32.96, 32.96, 32.96 degrees
With the nearest neighbours (Å) after each atom.
Fractional coordinates of all 7 atoms:
Li1 0.0000 0.0000 0.0000  8 Tl 3.21-3.34
Ce1 0.2503 0.2503 0.2503  8 Tl 3.19-3.25
Ce2 0.7497 0.7497 0.7497  8 Tl 3.19-3.25
Tl1 0.1280 0.1280 0.1280  4 Ce 3.19-3.24, 1 Li 3.34
Tl2 0.3749 0.3749 0.3749  3 Li 3.21, 4 Ce 3.21-3.25
Tl3 0.6251 0.6251 0.6251  3 Li 3.21, 4 Ce 3.21-3.25
Tl4 0.8720 0.8720 0.8720  4 Ce 3.19-3.24, 1 Li 3.34

Computed properties:
Calculated formation energy = -119 meV per atom
Fermi-level density of states = 1.88 states/eV per atom
Electronic total energy = -3.440 eV/atom
ΔE to the lowest computed polymorph = 0.0000 eV/atom

LiCe2Tl3: optimized geometry, PBE.

Cell lengths 14.9549, 14.9549, 6.5170 Å; angles 90.00, 90.00, 167.07 degrees
With the nearest neighbours (Å) after each atom.
Fractional coordinates of all 12 atoms:
Li1 0.1582 0.8418 0.7500  4 Tl 2.78-2.85
Li2 0.8418 0.1582 0.2500  4 Tl 2.78-2.85
Ce1 0.3343 0.6657 0.7500  2 Ce 3.37, 6 Tl 3.38-3.39, 4 Li 3.67
Ce2 0.4984 0.5016 0.2500  4 Ce 3.26-3.37, 8 Tl 3.38-3.42
Ce3 0.5016 0.4984 0.7500  4 Ce 3.26-3.37, 8 Tl 3.38-3.42
Ce4 0.6657 0.3343 0.2500  2 Ce 3.37, 6 Tl 3.38-3.39, 4 Li 3.67
Tl1 0.0829 0.9171 0.0044  1 Li 2.78
Tl2 0.0829 0.9171 0.4956  1 Li 2.78
Tl3 0.2645 0.7355 0.2500  2 Li 2.85
Tl4 0.7355 0.2645 0.7500  2 Li 2.85
Tl5 0.9171 0.0829 0.5044  1 Li 2.78
Tl6 0.9171 0.0829 0.9956  1 Li 2.78

Computed properties:
Calculated formation energy = -129 meV per atom
Fermi-level density of states = 2.13 states/eV per atom
Electronic total energy = -3.609 eV/atom
ΔE to the lowest computed polymorph = 0.1082 eV/atom